1.
{
  "formula": "Ce3TmAu4",
  "functional": "PBE-GGA",
  "state": "relaxed",
  "crystal_system": "tetragonal",
  "dft_energy_ha_per_atom": -0.1871,
  "cell": [[3.5874, 0.0000, 0.0000], [0.0000, 3.5874, 0.0000], [0.0000, 0.0000, 15.1655]],
  "species": ["Ce", "Ce", "Ce", "Tm", "Au", "Au", "Au", "Au"],
  "fractional_positions": [[0.0000, 0.0000, 0.0000], [0.0000, 0.0000, 0.2547], [0.0000, 0.0000, 0.7453], [0.0000, 0.0000, 0.5000], [0.5000, 0.5000, 0.1266], [0.5000, 0.5000, 0.3898], [0.5000, 0.5000, 0.6102], [0.5000, 0.5000, 0.8734]]
}

---

2.
{
  "formula": "Ce2TmAu",
  "functional": "PBE-GGA",
  "state": "relaxed",
  "crystal_system": "tetragonal",
  "polymorph_energy_ev_per_atom": 0.0000,
  "dft_energy_ha_per_atom": -0.1904,
  "cell": [[4.1652, 0.0000, 0.0000], [0.0000, 4.1652, 0.0000], [0.0000, 0.0000, 5.6118]],
  "species": ["Ce", "Ce", "Tm", "Au"],
  "fractional_positions": [[0.0000, 0.5000, 0.0000], [0.5000, 0.0000, 0.0000], [0.0000, 0.0000, 0.5000], [0.5000, 0.5000, 0.5000]]
}

---

3.
{
  "formula": "CeTmAu4",
  "functional": "PBE-GGA",
  "state": "relaxed",
  "crystal_system": "tetragonal",
  "polymorph_energy_ev_per_atom": 0.0000,
  "dft_energy_ha_per_atom": -0.1719,
  "cell": [[3.7596, 0.0000, 0.0000], [0.0000, 3.7596, 0.0000], [0.0000, 0.0000, 9.2364]],
  "species": ["Ce", "Tm", "Au", "Au", "Au", "Au"],
  "fractional_positions": [[0.0000, 0.0000, 0.0000], [0.5000, 0.5000, 0.5000], [0.0000, 0.0000, 0.3415], [0.0000, 0.0000, 0.6585], [0.5000, 0.5000, 0.1753], [0.5000, 0.5000, 0.8247]]
}

---

4.
{
  "formula": "CeTmAu2",
  "functional": "PBE-GGA",
  "state": "relaxed",
  "crystal_system": "trigonal",
  "dft_energy_ha_per_atom": -0.1784,
  "cell": [[2.1739, 1.2551, 6.5792], [-2.1739, 1.2551, 6.5792], [0.0000, -2.5103, 6.5792]],
  "species": ["Ce", "Tm", "Au", "Au"],
  "fractional_positions": [[0.0000, 0.0000, 0.0000], [0.5000, 0.5000, 0.5000], [0.2428, 0.2428, 0.2428], [0.7572, 0.7572, 0.7572]]
}

---

5.
{
  "formula": "Ce5TmAu6",
  "functional": "PBE-GGA",
  "state": "relaxed",
  "crystal_system": "monoclinic",
  "dft_energy_ha_per_atom": -0.1886,
  "cell": [[8.0758, -3.7513, 0.0000], [8.0758, 3.7513, 0.0000], [-1.6021, 0.0000, 4.8574]],
  "species": ["Ce", "Ce", "Ce", "Ce", "Ce", "Tm", "Au", "Au", "Au", "Au", "Au", "Au"],
  "fractional_positions": [[0.0000, 0.0000, 0.0000], [0.1551, 0.1551, 0.6542], [0.3191, 0.3191, 0.3206], [0.6809, 0.6809, 0.6794], [0.8449, 0.8449, 0.3458], [0.5000, 0.5000, 0.0000], [0.1109, 0.5702, 0.8418], [0.2859, 0.7141, 0.5000], [0.4298, 0.8891, 0.1582], [0.5702, 0.1109, 0.8418], [0.7141, 0.2859, 0.5000], [0.8891, 0.4298, 0.1582]]
}

---

6.
{
  "formula": "CeTmAu6",
  "functional": "PBE-GGA",
  "state": "relaxed",
  "crystal_system": "monoclinic",
  "dft_energy_ha_per_atom": -0.1610,
  "cell": [[4.2915, -2.4219, 0.0000], [4.2915, 2.4219, 0.0000], [-3.1252, 0.0000, 8.0288]],
  "species": ["Ce", "Tm", "Au", "Au", "Au", "Au", "Au", "Au"],
  "fractional_positions": [[0.0000, 0.0000, 0.0000], [0.5000, 0.5000, 0.5000], [0.1293, 0.1293, 0.3841], [0.2482, 0.2482, 0.7522], [0.3798, 0.3798, 0.1352], [0.6202, 0.6202, 0.8648], [0.7518, 0.7518, 0.2478], [0.8707, 0.8707, 0.6159]]
}

---

7.
{
  "formula": "CeTmAu",
  "functional": "PBE-GGA",
  "state": "relaxed",
  "crystal_system": "trigonal",
  "polymorph_energy_ev_per_atom": 0.1385,
  "dft_energy_ha_per_atom": -0.1789,
  "cell": [[4.9287, 0.0000, 0.0000], [-2.4643, 4.2683, 0.0000], [0.0000, 0.0000, 3.8040]],
  "species": ["Ce", "Tm", "Au"],
  "fractional_positions": [[0.0000, 0.0000, 0.0000], [0.6667, 0.3333, 0.4717], [0.3333, 0.6667, 0.6040]]
}

---

8.
{
  "formula": "CeTmAu4",
  "functional": "PBE-GGA",
  "state": "relaxed",
  "crystal_system": "monoclinic",
  "polymorph_energy_ev_per_atom": 0.0485,
  "dft_energy_ha_per_atom": -0.1702,
  "cell": [[2.3747, -4.1203, 0.0000], [2.3747, 4.1203, 0.0000], [-0.0072, 0.0000, 6.8128]],
  "species": ["Ce", "Tm", "Au", "Au", "Au", "Au"],
  "fractional_positions": [[0.0000, 0.0000, 0.0000], [0.0000, 0.0000, 0.5000], [0.3335, 0.6665, 0.7339], [0.3335, 0.6665, 0.2661], [0.6665, 0.3335, 0.7339], [0.6665, 0.3335, 0.2661]]
}

---

9.
{
  "formula": "Ce2TmAu6",
  "functional": "PBE-GGA",
  "state": "relaxed",
  "crystal_system": "monoclinic",
  "dft_energy_ha_per_atom": -0.1717,
  "cell": [[2.6698, -8.2394, 0.0000], [2.6698, 8.2394, 0.0000], [-2.6369, 0.0000, 4.5921]],
  "species": ["Ce", "Ce", "Tm", "Au", "Au", "Au", "Au", "Au", "Au"],
  "fractional_positions": [[0.1656, 0.8344, 0.0000], [0.8344, 0.1656, 0.0000], [0.5000, 0.5000, 0.5000], [0.1591, 0.1591, 0.8273], [0.1753, 0.4971, 0.6657], [0.4971, 0.1753, 0.6657], [0.5029, 0.8247, 0.3343], [0.8247, 0.5029, 0.3343], [0.8409, 0.8409, 0.1727]]
}

---

10.
{
  "formula": "Ce2TmAu",
  "functional": "PBE-GGA",
  "state": "relaxed",
  "crystal_system": "trigonal",
  "polymorph_energy_ev_per_atom": 0.4847,
  "dft_energy_ha_per_atom": -0.1726,
  "cell": [[1.6033, 0.9257, 11.9158], [-1.6033, 0.9257, 11.9158], [0.0000, -1.8514, 11.9158]],
  "species": ["Ce", "Ce", "Tm", "Au"],
  "fractional_positions": [[0.0836, 0.0836, 0.0836], [0.9164, 0.9164, 0.9164], [0.5000, 0.5000, 0.5000], [0.0000, 0.0000, 0.0000]]
}

---

11.
{
  "formula": "CeTmAu",
  "functional": "PBE-GGA",
  "state": "relaxed",
  "crystal_system": "cubic",
  "polymorph_energy_ev_per_atom": 0.1483,
  "dft_energy_ha_per_atom": -0.1785,
  "cell": [[0.0000, 3.5349, 3.5349], [3.5349, 0.0000, 3.5349], [3.5349, 3.5349, 0.0000]],
  "species": ["Ce", "Tm", "Au"],
  "fractional_positions": [[0.0000, 0.0000, 0.0000], [0.5000, 0.5000, 0.5000], [0.2500, 0.2500, 0.2500]]
}

---

12.
{
  "formula": "Ce2TmAu",
  "functional": "PBE-GGA",
  "state": "relaxed",
  "crystal_system": "tetragonal",
  "polymorph_energy_ev_per_atom": 0.0765,
  "dft_energy_ha_per_atom": -0.1876,
  "cell": [[3.8241, 0.0000, 0.0000], [0.0000, 3.8241, 0.0000], [0.0000, 0.0000, 7.6475]],
  "species": ["Ce", "Ce", "Tm", "Au"],
  "fractional_positions": [[0.0000, 0.0000, 0.2090], [0.0000, 0.0000, 0.7910], [0.5000, 0.5000, 0.5000], [0.5000, 0.5000, 0.0000]]
}

---

13.
{
  "formula": "CeTm5Au6",
  "functional": "PBE-GGA",
  "state": "relaxed",
  "crystal_system": "orthorhombic",
  "dft_energy_ha_per_atom": -0.1774,
  "cell": [[-2.5333, 3.5614, 7.6310], [2.5333, -3.5614, 7.6310], [2.5333, 3.5614, -7.6310]],
  "species": ["Ce", "Tm", "Tm", "Tm", "Tm", "Tm", "Au", "Au", "Au", "Au", "Au", "Au"],
  "fractional_positions": [[0.0000, 0.0000, 0.0000], [0.1647, 0.6647, 0.5000], [0.3316, 0.3316, 0.0000], [0.5000, 0.0000, 0.5000], [0.6684, 0.6684, 0.0000], [0.8353, 0.3353, 0.5000], [0.0874, 0.8285, 0.2589], [0.2669, 0.5000, 0.7669], [0.4305, 0.1715, 0.2589], [0.5695, 0.8285, 0.7411], [0.7331, 0.5000, 0.2331], [0.9126, 0.1715, 0.7411]]
}

---

14.
{
  "formula": "CeTmAu2",
  "functional": "PBE-GGA",
  "state": "relaxed",
  "crystal_system": "tetragonal",
  "dft_energy_ha_per_atom": -0.1835,
  "cell": [[3.5525, 0.0000, 0.0000], [0.0000, 3.5525, 0.0000], [0.0000, 0.0000, 7.5159]],
  "species": ["Ce", "Tm", "Au", "Au"],
  "fractional_positions": [[0.0000, 0.0000, 0.0000], [0.0000, 0.0000, 0.5000], [0.5000, 0.5000, 0.2757], [0.5000, 0.5000, 0.7243]]
}

---

15.
{
  "formula": "CeTmZnAu",
  "functional": "PBE-GGA",
  "state": "relaxed",
  "crystal_system": "tetragonal",
  "polymorph_energy_ev_per_atom": 0.0000,
  "dft_energy_ha_per_atom": -0.1560,
  "cell": [[3.5607, 0.0000, 0.0000], [0.0000, 3.5607, 0.0000], [0.0000, 0.0000, 7.3591]],
  "species": ["Ce", "Tm", "Zn", "Au"],
  "fractional_positions": [[0.0000, 0.0000, 0.0000], [0.0000, 0.0000, 0.4955], [0.5000, 0.5000, 0.2624], [0.5000, 0.5000, 0.7156]]
}

---

16.
{
  "formula": "CeTmZnAu",
  "functional": "PBE-GGA",
  "state": "relaxed",
  "crystal_system": "cubic",
  "polymorph_energy_ev_per_atom": 0.0290,
  "dft_energy_ha_per_atom": -0.1549,
  "cell": [[0.0000, 3.6139, 3.6139], [3.6139, 0.0000, 3.6139], [3.6139, 3.6139, 0.0000]],
  "species": ["Ce", "Tm", "Zn", "Au"],
  "fractional_positions": [[0.0000, 0.0000, 0.0000], [0.5000, 0.5000, 0.5000], [0.7500, 0.7500, 0.7500], [0.2500, 0.2500, 0.2500]]
}

---

17.
{
  "formula": "CeUAu4",
  "functional": "PBE-GGA",
  "state": "relaxed",
  "crystal_system": "orthorhombic",
  "dft_energy_ha_per_atom": -0.2033,
  "cell": [[3.1067, 0.0000, 0.0000], [0.0000, 4.8804, 0.0000], [0.0000, 0.0000, 8.4429]],
  "species": ["Ce", "U", "Au", "Au", "Au", "Au"],
  "fractional_positions": [[0.0000, 0.0000, 0.0000], [0.0000, 0.5000, 0.5000], [0.5000, 0.0000, 0.3350], [0.5000, 0.0000, 0.6650], [0.5000, 0.5000, 0.1685], [0.5000, 0.5000, 0.8315]]
}

---

18.
{
  "formula": "CeUAu",
  "functional": "PBE-GGA",
  "state": "relaxed",
  "crystal_system": "monoclinic",
  "dft_energy_ha_per_atom": -0.2587,
  "cell": [[7.3707, -1.7465, 0.0000], [7.3707, 1.7465, 0.0000], [-0.5783, 0.0000, 5.1877]],
  "species": ["Ce", "Ce", "U", "U", "Au", "Au"],
  "fractional_positions": [[0.0939, 0.0939, 0.2330], [0.9061, 0.9061, 0.7670], [0.2591, 0.2591, 0.8076], [0.7409, 0.7409, 0.1924], [0.4178, 0.4178, 0.2867], [0.5822, 0.5822, 0.7133]]
}

---

19.
{
  "formula": "Ce2VAu",
  "functional": "PBE-GGA",
  "state": "relaxed",
  "crystal_system": "trigonal",
  "dft_energy_ha_per_atom": -0.2149,
  "cell": [[1.4876, 0.8589, 10.6693], [-1.4876, 0.8589, 10.6693], [0.0000, -1.7177, 10.6693]],
  "species": ["Ce", "Ce", "V", "Au"],
  "fractional_positions": [[0.0799, 0.0799, 0.0799], [0.9201, 0.9201, 0.9201], [0.0000, 0.0000, 0.0000], [0.5000, 0.5000, 0.5000]]
}

---

20.
{
  "formula": "Ce3YAu7",
  "functional": "PBE-GGA",
  "state": "relaxed",
  "crystal_system": "orthorhombic",
  "dft_energy_ha_per_atom": -0.1806,
  "cell": [[1.8817, -11.1644, 0.0000], [1.8817, 11.1644, 0.0000], [0.0000, 0.0000, 12.9611]],
  "species": ["Ce", "Ce", "Ce", "Ce", "Ce", "Ce", "Y", "Y", "Au", "Au", "Au", "Au", "Au", "Au", "Au", "Au", "Au", "Au", "Au", "Au", "Au", "Au"],
  "fractional_positions": [[0.1413, 0.8587, 0.5619], [0.1413, 0.8587, 0.9381], [0.1935, 0.8065, 0.2500], [0.8065, 0.1935, 0.7500], [0.8587, 0.1413, 0.0619], [0.8587, 0.1413, 0.4381], [0.0065, 0.9935, 0.2500], [0.9935, 0.0065, 0.7500], [0.2784, 0.7216, 0.5695], [0.2784, 0.7216, 0.9305], [0.3817, 0.6183, 0.2500], [0.4026, 0.5974, 0.6348], [0.4026, 0.5974, 0.8652], [0.4656, 0.5344, 0.0827], [0.4656, 0.5344, 0.4173], [0.5344, 0.4656, 0.5827], [0.5344, 0.4656, 0.9173], [0.5974, 0.4026, 0.1348], [0.5974, 0.4026, 0.3652], [0.6183, 0.3817, 0.7500], [0.7216, 0.2784, 0.0695], [0.7216, 0.2784, 0.4305]]
}

---

Number 1: N(E_F) 20.995 states/eV per cell, ρ 11.7 g cm⁻³. Number 2: N(E_F) 9.074 states/eV per cell, ρ 11.0 g cm⁻³. Number 3: N(E_F) 6.866 states/eV per cell, ρ 14.0 g cm⁻³. Number 4: N(E_F) 9.959 states/eV per cell, ρ 10.8 g cm⁻³. Number 5: N(E_F) 33.033 states/eV per cell, ρ 11.6 g cm⁻³. Number 6: N(E_F) 7.343 states/eV per cell, ρ 14.8 g cm⁻³. Number 7: N(E_F) 7.313 states/eV per cell, ρ 10.5 g cm⁻³. Number 8: N(E_F) 8.870 states/eV per cell, ρ 13.7 g cm⁻³. Number 9: N(E_F) 14.393 states/eV per cell, ρ 13.4 g cm⁻³. Number 10: N(E_F) 9.623 states/eV per cell, ρ 10.1 g cm⁻³. Number 11: N(E_F) 8.728 states/eV per cell, ρ 9.5 g cm⁻³. Number 12: N(E_F) 11.904 states/eV per cell, ρ 9.6 g cm⁻³. Number 13: N(E_F) 12.136 states/eV per cell, ρ 13.1 g cm⁻³. Number 14: N(E_F) 7.044 states/eV per cell, ρ 12.3 g cm⁻³. Number 15: N(E_F) 7.702 states/eV per cell, ρ 10.2 g cm⁻³. Number 16: N(E_F) 7.224 states/eV per cell, ρ 10.1 g cm⁻³. Number 17: N(E_F) 10.653 states/eV per cell, ρ 15.1 g cm⁻³. Number 18: N(E_F) 11.927 states/eV per cell, ρ 14.3 g cm⁻³. Number 19: N(E_F) 7.948 states/eV per cell, ρ 10.7 g cm⁻³. Number 20: N(E_F) 44.463 states/eV per cell, ρ 11.5 g cm⁻³.